i:
VASP calculation (GGA-PBE) on an optimized crystal structure of InAsSe2O.

a = 4.6642 Å, b = 4.6642 Å, c = 4.7243 Å
α = 90.00°, β = 90.00°, γ = 90.00°
Sites, in units of the cell vectors:
Se 0.5000 0.0000 0.0000
In 0.5000 0.5000 0.5000
O 0.0000 0.0000 0.0000
Se 0.0000 0.5000 0.0000
As 0.0000 0.0000 0.5000

ii:
VASP calculation (GGA-PBE) on an optimized crystal structure of InAsSe2O.

a = 5.2175 Å, b = 5.2175 Å, c = 5.3866 Å
α = 90.00°, β = 90.00°, γ = 90.00°
Sites, in units of the cell vectors:
As 0.0000 0.0000 0.5000
O 0.5000 0.5000 0.5000
In 0.0000 0.0000 0.0000
Se 0.0000 0.5000 0.0000
Se 0.5000 0.0000 0.0000

Which one is most stable, and which one is least stable? i is the most stable of them, while ii is the least stable.

i:
VASP calculation (GGA-PBE) on an optimized crystal structure of InSn2AsO.

a = 5.7220 Å, b = 3.9894 Å, c = 5.7220 Å
α = 90.00°, β = 90.00°, γ = 90.00°
Sites, in units of the cell vectors:
In 0.0000 0.0000 0.0000
Sn 0.0000 0.0000 0.5000
As 0.5000 0.5000 0.5000
O 0.0000 0.5000 0.0000
Sn 0.5000 0.0000 0.0000

ii:
VASP calculation (GGA-PBE) on an optimized crystal structure of InSn2AsO.

a = 5.7325 Å, b = 4.9858 Å, c = 5.7325 Å
α = 90.00°, β = 90.00°, γ = 90.00°
Sites, in units of the cell vectors:
Sn 0.0000 0.0000 0.5000
In 0.0000 0.0000 0.0000
Sn 0.5000 0.0000 0.0000
O 0.5000 0.5000 0.5000
As 0.0000 0.5000 0.0000

Which one is most stable, and which one is least stable? i is the most stable of them, while ii is the least stable.